# AgRhI

A relaxed structure of AgRhI (PBE, the Alexandria database).

The space group is P3m1 (No. 156) and the conventional cell measures 3.9962, 3.9962 and 10.7048 Å, with angles of 90.00, 90.00 and 120.00 degrees. The asymmetric unit holds Ag at (0.0000, 0.0000, 0.0000), Ag at (0.3333, 0.6667, 0.1443), Rh at (0.3333, 0.6667, 0.4031), Rh at (0.6667, 0.3333, 0.2931), I at (0.0000, 0.0000, 0.5272) and I at (0.6667, 0.3333, 0.8429).

Its formation energy from raw total energies is 212.7 meV/atom. The calculation puts the energy at -22.23 eV/cell. The calculation puts the relative energy among the computed polymorphs at 63 meV per atom.



# Y7Te2Os2

A relaxed structure of Y7Te2Os2 (PBE, the Alexandria database).

The space group is Imm2 (No. 44) and the conventional cell measures 4.011, 15.827 and 9.352 Å, with angles of 90.00, 90.00 and 90.00 degrees. The asymmetric unit holds Y at (0.000, 0.000, 0.000), Y at (0.000, 0.132, 0.416), Y at (0.000, 0.315, 0.627), Y at (0.000, 0.350, 0.261), Te at (0.000, 0.000, 0.666), Te at (0.000, 0.500, 0.763) and Os at (0.000, 0.239, 0.931).

Its formation energy from raw total energies is -657.3 meV/atom. The calculation puts the energy at -162.44 eV/cell.